No. 1
MnCdCu2: optimized geometry, PBE-GGA.

Computed properties:
DFT formation energy, eV/f.u.: 0.61
Energy, eV/atom: -4.418

abc: 3.0695 3.0695 6.3446
angles: 90.00 90.00 90.00
Closest atoms and distances in Å follow each position.
Sites, in units of the cell vectors:
Mn 0.0000 0.0000 0.0000  5 Cu 2.57-2.67
Cd 0.5000 0.5000 0.3048  5 Cu 2.78-3.03, 4 Mn 2.91, 4 Cd 3.07
Cu 0.0000 0.0000 0.5786  4 Cu 2.53, 1 Mn 2.67, 4 Cd 2.78
Cu 0.5000 0.5000 0.7829  4 Cu 2.53, 4 Mn 2.57

No. 2
KTl2Hg9: optimized geometry, PBE-GGA.

Computed properties:
DFT formation energy, eV/f.u.: -0.91
Energy, eV/atom: -0.788
Energy relative to the lowest polymorph listed for this composition, meV/atom: 21

abc: 10.8039 10.8039 3.4511
angles: 90.00 90.00 120.00
Closest atoms and distances in Å follow each position.
Sites, in units of the cell vectors:
K 0.0000 0.0000 0.0000  2 K 3.45, 12 Hg 3.65
Tl 0.3333 0.6667 0.0000  9 Hg 3.12-3.48, 2 Tl 3.45
Tl 0.6667 0.3333 0.0000  9 Hg 3.12-3.48, 2 Tl 3.45
Hg 0.0000 0.5000 0.0000  2 Tl 3.12, 2 Hg 3.45
Hg 0.1717 0.3433 0.5000  8 Hg 3.21-3.52, 2 Tl 3.48
Hg 0.1717 0.8283 0.5000  8 Hg 3.21-3.52, 2 Tl 3.48
Hg 0.3433 0.1717 0.5000  8 Hg 3.21-3.52, 2 Tl 3.48
Hg 0.5000 0.0000 0.0000  2 Tl 3.12, 2 Hg 3.45
Hg 0.5000 0.5000 0.0000  2 Tl 3.12, 2 Hg 3.45
Hg 0.6567 0.8283 0.5000  8 Hg 3.21-3.52, 2 Tl 3.48
Hg 0.8283 0.1717 0.5000  8 Hg 3.21-3.52, 2 Tl 3.48
Hg 0.8283 0.6567 0.5000  8 Hg 3.21-3.52, 2 Tl 3.48

No. 3
KRb2LiBr4: optimized geometry, PBE-GGA.

Computed properties:
Energy, eV/atom: -3.084
Uncorrected formation energy, eV/f.u.: -13.0

abc: 9.3083 9.3083 9.3399
angles: 120.02 120.02 88.98
Closest atoms and distances in Å follow each position.
Sites, in units of the cell vectors:
K 0.0000 0.0000 0.0000  6 Br 3.22-3.31
K 0.0000 0.0000 0.5000  6 Br 3.22-3.31
Rb 0.0000 0.5000 0.0000  6 Br 3.46-3.72
Rb 0.5000 0.0000 0.5000  6 Br 3.46-3.72
Rb 0.5000 0.5000 0.0000  6 Br 3.32-3.41
Rb 0.5000 0.5000 0.5000  6 Br 3.32-3.41
Li 0.0000 0.5000 0.5000  2 Br 2.81
Li 0.5000 0.0000 0.0000  2 Br 2.81
Br 0.2077 0.2771 0.4924  1 Li 2.81
Br 0.2443 0.7523 0.5201  2 Li 3.17-3.20, 1 K 3.22, 3 Rb 3.32-3.48
Br 0.2477 0.7557 0.9799  2 Li 3.17-3.20, 1 K 3.22, 3 Rb 3.32-3.48
Br 0.2771 0.2077 0.9924  1 Li 2.81
Br 0.7229 0.7923 0.0076  1 Li 2.81
Br 0.7523 0.2443 0.0201  2 Li 3.17-3.20, 1 K 3.22, 3 Rb 3.32-3.48
Br 0.7557 0.2477 0.4799  2 Li 3.17-3.20, 1 K 3.22, 3 Rb 3.32-3.48
Br 0.7923 0.7229 0.5076  1 Li 2.81

No. 4
TbSb2Pd7: optimized geometry, PBE-GGA.

Computed properties:
Energy, eV/atom: -5.513
Energy relative to the lowest polymorph listed for this composition, meV/atom: 0
Uncorrected formation energy, eV/f.u.: -5.9

abc: 11.4207 11.4207 11.4207
angles: 159.11 159.11 29.71
Closest atoms and distances in Å follow each position.
Sites, in units of the cell vectors:
Tb 0.0000 0.0000 0.0000  12 Pd 2.93-2.94
Sb 0.3293 0.3293 0.0000  8 Pd 2.67-2.71
Sb 0.6707 0.6707 0.0000  8 Pd 2.67-2.71
Pd 0.0943 0.5943 0.5000  2 Sb 2.67, 6 Pd 2.93-2.94, 2 Tb 2.94
Pd 0.2500 0.7500 0.5000  4 Sb 2.71, 4 Pd 2.93
Pd 0.4057 0.9057 0.5000  2 Sb 2.67, 6 Pd 2.93-2.94, 2 Tb 2.94
Pd 0.5000 0.5000 0.0000  4 Tb 2.93, 8 Pd 2.94
Pd 0.5943 0.0943 0.5000  2 Sb 2.67, 6 Pd 2.93-2.94, 2 Tb 2.94
Pd 0.7500 0.2500 0.5000  4 Sb 2.71, 4 Pd 2.93
Pd 0.9057 0.4057 0.5000  2 Sb 2.67, 6 Pd 2.93-2.94, 2 Tb 2.94

No. 5
La2MgTa2: optimized geometry, PBE-GGA.

Computed properties:
DFT formation energy, eV/f.u.: 2.46
Energy, eV/atom: -6.538

abc: 10.2455 10.2455 10.2455
angles: 158.21 158.21 31.01
Closest atoms and distances in Å follow each position.
Sites, in units of the cell vectors:
La 0.1169 0.1169 0.0000  4 Ta 3.26, 4 Mg 3.58
La 0.8831 0.8831 0.0000  4 Ta 3.26, 4 Mg 3.58
Mg 0.5000 0.5000 0.0000  8 La 3.58, 4 Mg 3.87
Ta 0.2500 0.7500 0.5000  4 Ta 2.74
Ta 0.7500 0.2500 0.5000  4 Ta 2.74

No. 6
Er5ZnCo2: optimized geometry, PBE-GGA.

Computed properties:
DFT formation energy, eV/f.u.: -1.95
Energy, eV/atom: -5.031

abc: 8.3357 8.3357 8.3357
angles: 126.58 126.58 78.94
Closest atoms and distances in Å follow each position.
Sites, in units of the cell vectors:
Er 0.0000 0.0000 0.0000  4 Co 2.92, 2 Zn 3.22
Er 0.0256 0.5256 0.8232  3 Co 2.78-2.83
Er 0.2024 0.0256 0.5000  3 Co 2.78-2.83
Er 0.2976 0.7976 0.8232  3 Co 2.78-2.83
Er 0.4744 0.2976 0.5000  3 Co 2.78-2.83
Er 0.5000 0.5000 0.0000  4 Co 2.92, 2 Zn 3.22
Er 0.5256 0.7024 0.5000  3 Co 2.78-2.83
Er 0.7024 0.2024 0.1768  3 Co 2.78-2.83
Er 0.7976 0.9744 0.5000  3 Co 2.78-2.83
Er 0.9744 0.4744 0.1768  3 Co 2.78-2.83
Zn 0.2500 0.2500 0.0000  10 Er 3.17-3.22
Zn 0.7500 0.7500 0.0000  10 Er 3.17-3.22
Co 0.1346 0.3654 0.5000  8 Er 2.78-2.92, 1 Co 2.85
Co 0.3654 0.8654 0.2308  8 Er 2.78-2.92, 1 Co 2.85
Co 0.6346 0.1346 0.7692  8 Er 2.78-2.92, 1 Co 2.85
Co 0.8654 0.6346 0.5000  8 Er 2.78-2.92, 1 Co 2.85

No. 7
NaTbPaS4: optimized geometry, PBE-GGA.

Computed properties:
Energy, eV/atom: -6.274
Uncorrected formation energy, eV/f.u.: -12.0

abc: 8.1823 8.1823 8.1823
angles: 120.31 119.55 90.12
Closest atoms and distances in Å follow each position.
Sites, in units of the cell vectors:
Na 0.3802 0.1302 0.2500  4 S 2.75-2.78
Na 0.6198 0.8698 0.7500  4 S 2.75-2.78
Tb 0.0000 0.0000 0.5000  6 S 2.77-2.78
Tb 0.0000 0.5000 0.0000  6 S 2.77-2.78
Pa 0.0000 0.5000 0.5000  6 S 2.71-2.75
Pa 0.5000 0.5000 0.0000  6 S 2.71-2.75
S 0.2101 0.7340 0.4760  1 Pa 2.71, 1 Na 2.75, 2 Tb 2.77
S 0.2394 0.2666 0.5273  2 Pa 2.75, 1 Tb 2.78, 1 Na 2.78
S 0.2394 0.7121 0.9727  2 Pa 2.75, 1 Tb 2.78, 1 Na 2.78
S 0.2420 0.2660 0.9760  1 Pa 2.71, 1 Na 2.75, 2 Tb 2.77
S 0.7580 0.7340 0.0240  1 Pa 2.71, 1 Na 2.75, 2 Tb 2.77
S 0.7606 0.2879 0.0273  2 Pa 2.75, 1 Tb 2.78, 1 Na 2.78
S 0.7606 0.7334 0.4727  2 Pa 2.75, 1 Tb 2.78, 1 Na 2.78
S 0.7899 0.2660 0.5240  1 Pa 2.71, 1 Na 2.75, 2 Tb 2.77

No. 8
LiLaHoAg: optimized geometry, PBE-GGA.

Computed properties:
DFT formation energy, eV/f.u.: -0.25
Energy, eV/atom: -3.630

abc: 5.3024 5.3024 5.3024
angles: 60.00 60.00 60.00
Closest atoms and distances in Å follow each position.
Sites, in units of the cell vectors:
Li 0.0000 0.0000 0.0000  4 La 3.25, 4 Ho 3.25
La 0.7500 0.7500 0.7500  4 Li 3.25, 4 Ag 3.25
Ho 0.2500 0.2500 0.2500  4 Li 3.25, 4 Ag 3.25
Ag 0.5000 0.5000 0.5000  4 La 3.25, 4 Ho 3.25

No. 9
NiHCl2: optimized geometry, PBE-GGA.

Computed properties:
Energy, eV/atom: -3.154
Energy relative to the lowest polymorph listed for this composition, meV/atom: 185

abc: 5.9593 5.9593 5.9593
angles: 130.32 130.32 72.90
Closest atoms and distances in Å follow each position.
Sites, in units of the cell vectors:
Ni 0.0000 0.0000 0.0000  4 Cl 2.26
Ni 0.7500 0.2500 0.5000  4 Cl 2.26
H 0.2500 0.7500 0.5000  4 Cl 2.03
H 0.5000 0.5000 0.0000  4 Cl 2.03
Cl 0.1632 0.6250 0.0382  2 H 2.03, 2 Ni 2.26
Cl 0.3750 0.4132 0.5382  2 H 2.03, 2 Ni 2.26
Cl 0.5868 0.1250 0.9618  2 H 2.03, 2 Ni 2.26
Cl 0.8750 0.8368 0.4618  2 H 2.03, 2 Ni 2.26

No. 10
PmCdPt4: optimized geometry, PBE-GGA.

Computed properties:
DFT formation energy, eV/f.u.: -4.91
Energy, eV/atom: -5.789

abc: 5.4237 5.4237 5.4237
angles: 60.00 60.00 60.00
Closest atoms and distances in Å follow each position.
Sites, in units of the cell vectors:
Pm 0.0000 0.0000 0.0000  12 Pt 3.18, 4 Cd 3.32
Cd 0.2500 0.2500 0.2500  12 Pt 3.18, 4 Pm 3.32
Pt 0.1268 0.6244 0.6244  6 Pt 2.70-2.73
Pt 0.6244 0.1268 0.6244  6 Pt 2.70-2.73
Pt 0.6244 0.6244 0.1268  6 Pt 2.70-2.73
Pt 0.6244 0.6244 0.6244  6 Pt 2.70-2.73

No. 11
CaNdTlBi: optimized geometry, PBE-GGA.

Computed properties:
DFT formation energy, eV/f.u.: -1.98
Energy, eV/atom: -3.748

abc: 5.5846 5.5846 5.5846
angles: 60.00 60.00 60.00
Closest atoms and distances in Å follow each position.
Sites, in units of the cell vectors:
Ca 0.0000 0.0000 0.0000  4 Bi 3.42, 4 Tl 3.42
Nd 0.5000 0.5000 0.5000  4 Tl 3.42, 4 Bi 3.42
Tl 0.2500 0.2500 0.2500  4 Ca 3.42, 4 Nd 3.42
Bi 0.7500 0.7500 0.7500  4 Ca 3.42, 4 Nd 3.42

No. 12
LiTl2BiCl6: optimized geometry, PBE-GGA.

Computed properties:
Energy, eV/atom: -3.339
Uncorrected formation energy, eV/f.u.: -11.8

abc: 7.2959 7.5475 12.7118
angles: 90.00 124.76 90.00
Closest atoms and distances in Å follow each position.
Sites, in units of the cell vectors:
Li 0.0000 0.0000 0.0000  6 Cl 2.61-2.67
Li 0.0000 0.5000 0.5000  6 Cl 2.61-2.67
Tl 0.2334 0.0617 0.7493  8 Cl 3.25-3.59
Tl 0.2334 0.4383 0.2493  8 Cl 3.25-3.59
Tl 0.7666 0.5617 0.7507  8 Cl 3.25-3.59
Tl 0.7666 0.9383 0.2507  8 Cl 3.25-3.59
Bi 0.5000 0.0000 0.5000  6 Cl 2.73-2.74
Bi 0.5000 0.5000 0.0000  6 Cl 2.73-2.74
Cl 0.1591 0.2081 0.4605  1 Li 2.67, 1 Bi 2.74
Cl 0.1591 0.2919 0.9605  1 Li 2.67, 1 Bi 2.74
Cl 0.2561 0.7016 0.4624  1 Li 2.66, 1 Bi 2.74
Cl 0.2561 0.7984 0.9624  1 Li 2.66, 1 Bi 2.74
Cl 0.3209 0.0140 0.2439  1 Li 2.61, 1 Bi 2.73
Cl 0.3209 0.4860 0.7439  1 Li 2.61, 1 Bi 2.73
Cl 0.6791 0.5140 0.2561  1 Li 2.61, 1 Bi 2.73
Cl 0.6791 0.9860 0.7561  1 Li 2.61, 1 Bi 2.73
Cl 0.7439 0.2016 0.0376  1 Li 2.66, 1 Bi 2.74
Cl 0.7439 0.2984 0.5376  1 Li 2.66, 1 Bi 2.74
Cl 0.8409 0.7081 0.0395  1 Li 2.67, 1 Bi 2.74
Cl 0.8409 0.7919 0.5395  1 Li 2.67, 1 Bi 2.74

No. 13
LuPa2In: optimized geometry, PBE-GGA.

Computed properties:
DFT formation energy, eV/f.u.: 1.16
Energy, eV/atom: -6.274

abc: 12.3292 12.3292 12.3292
angles: 14.95 14.95 14.95
Closest atoms and distances in Å follow each position.
Sites, in units of the cell vectors:
Lu 0.0000 0.0000 0.0000  6 Lu 3.21, 6 Pa 3.40
Pa 0.4114 0.4114 0.4114  6 Pa 3.21, 1 In 3.24, 3 Lu 3.40
Pa 0.5886 0.5886 0.5886  6 Pa 3.21, 1 In 3.24, 3 Lu 3.40
In 0.5000 0.5000 0.5000  6 In 3.21, 2 Pa 3.24

No. 14
FeCoRu: optimized geometry, PBE-GGA.

Computed properties:
DFT formation energy, eV/f.u.: 1.65
Energy, eV/atom: -7.733
Energy relative to the lowest polymorph listed for this composition, meV/atom: 423

abc: 3.8692 3.8692 3.8692
angles: 60.00 60.00 60.00
Closest atoms and distances in Å follow each position.
Sites, in units of the cell vectors:
Fe 0.0000 0.0000 0.0000  4 Co 2.37, 4 Ru 2.37
Co 0.7500 0.7500 0.7500  4 Fe 2.37
Ru 0.2500 0.2500 0.2500  4 Fe 2.37

No. 15
Tb6Pm3Sc2: optimized geometry, PBE-GGA.

Computed properties:
DFT formation energy, eV/f.u.: 0.41
Energy, eV/atom: -4.935

abc: 31.5824 31.5824 31.5824
angles: 6.43 6.43 6.43
Closest atoms and distances in Å follow each position.
Sites, in units of the cell vectors:
Tb 0.0940 0.0940 0.0940  3 Sc 3.39, 6 Tb 3.54, 3 Pm 3.62
Tb 0.1823 0.1823 0.1823  3 Sc 3.39, 9 Tb 3.54-3.59
Tb 0.3646 0.3646 0.3646  6 Tb 3.54, 6 Pm 3.59
Tb 0.6354 0.6354 0.6354  6 Tb 3.54, 6 Pm 3.59
Tb 0.8177 0.8177 0.8177  3 Sc 3.39, 9 Tb 3.54-3.59
Tb 0.9060 0.9060 0.9060  3 Sc 3.39, 6 Tb 3.54, 3 Pm 3.62
Pm 0.0000 0.0000 0.0000  6 Pm 3.54, 6 Tb 3.59
Pm 0.2709 0.2709 0.2709  6 Pm 3.54, 6 Tb 3.59-3.62
Pm 0.7291 0.7291 0.7291  6 Pm 3.54, 6 Tb 3.59-3.62
Sc 0.4559 0.4559 0.4559  6 Tb 3.39, 6 Sc 3.54
Sc 0.5441 0.5441 0.5441  6 Tb 3.39, 6 Sc 3.54

No. 16
BeHgAu2: optimized geometry, PBE-GGA.

Computed properties:
DFT formation energy, eV/f.u.: 0.03
Energy, eV/atom: -2.639
Energy relative to the lowest polymorph listed for this composition, meV/atom: 38

abc: 8.8536 8.8536 8.8536
angles: 19.77 19.77 19.77
Closest atoms and distances in Å follow each position.
Sites, in units of the cell vectors:
Be 0.0000 0.0000 0.0000  6 Au 2.42
Hg 0.5000 0.5000 0.5000  6 Hg 3.04, 6 Au 3.19
Au 0.2691 0.2691 0.2691  3 Be 2.42
Au 0.7309 0.7309 0.7309  3 Be 2.42

No. 17
Pm2Pr6Ho3Tl: optimized geometry, PBE-GGA.

Computed properties:
DFT formation energy, eV/f.u.: -0.26
Energy, eV/atom: -4.545

abc: 6.2627 6.2627 11.9588
angles: 95.02 95.02 120.11
Closest atoms and distances in Å follow each position.
Sites, in units of the cell vectors:
Pm 0.1666 0.8334 0.0000  3 Tl 3.61-3.62, 3 Pm 3.61-3.62, 6 Pr 3.63-3.64
Pm 0.8334 0.1666 0.0000  3 Tl 3.61-3.62, 3 Pm 3.61-3.62, 6 Pr 3.63-3.64
Pr 0.0895 0.4162 0.7486  6 Pr 3.54-3.65, 3 Ho 3.58-3.62, 1 Tl 3.60, 2 Pm 3.63
Pr 0.2575 0.2575 0.2521  6 Pr 3.54-3.65, 3 Ho 3.58-3.61, 1 Tl 3.60, 2 Pm 3.64
Pr 0.4162 0.0895 0.7486  6 Pr 3.54-3.65, 3 Ho 3.58-3.62, 1 Tl 3.60, 2 Pm 3.63
Pr 0.5838 0.9105 0.2514  6 Pr 3.54-3.65, 3 Ho 3.58-3.62, 1 Tl 3.60, 2 Pm 3.63
Pr 0.7425 0.7425 0.7479  6 Pr 3.54-3.65, 3 Ho 3.58-3.61, 1 Tl 3.60, 2 Pm 3.64
Pr 0.9105 0.5838 0.2514  6 Pr 3.54-3.65, 3 Ho 3.58-3.62, 1 Tl 3.60, 2 Pm 3.63
Ho 0.0000 0.0000 0.5000  6 Pr 3.58-3.61, 6 Ho 3.61
Ho 0.3328 0.6672 0.5000  6 Pr 3.58-3.62, 6 Ho 3.61-3.63
Ho 0.6672 0.3328 0.5000  6 Pr 3.58-3.62, 6 Ho 3.61-3.63
Tl 0.5000 0.5000 0.0000  6 Pr 3.60, 6 Pm 3.61-3.62

No. 18
Ho8Sn5Hg: optimized geometry, PBE-GGA.

Computed properties:
DFT formation energy, eV/f.u.: -8.92
Energy, eV/atom: -4.704

abc: 7.9929 7.9929 7.9929
angles: 109.68 109.68 109.06
Closest atoms and distances in Å follow each position.
Sites, in units of the cell vectors:
Ho 0.0189 0.6281 0.7485  1 Hg 3.06, 5 Sn 3.07-3.33
Ho 0.2322 0.4863 0.1056  5 Sn 3.07-3.30, 1 Hg 3.36
Ho 0.3719 0.1204 0.3907  1 Hg 3.06, 5 Sn 3.07-3.33
Ho 0.3807 0.1266 0.8944  5 Sn 3.07-3.30, 1 Hg 3.36
Ho 0.5137 0.6193 0.7459  5 Sn 3.07-3.30, 1 Hg 3.36
Ho 0.7296 0.9811 0.6093  1 Hg 3.06, 5 Sn 3.07-3.33
Ho 0.8734 0.7678 0.2541  5 Sn 3.07-3.30, 1 Hg 3.36
Ho 0.8796 0.2704 0.2515  1 Hg 3.06, 5 Sn 3.07-3.33
Sn 0.1231 0.2473 0.6249  8 Ho 3.07-3.33
Sn 0.2500 0.7500 0.5000  8 Ho 3.07-3.30
Sn 0.5019 0.8769 0.1242  8 Ho 3.07-3.33
Sn 0.6224 0.4981 0.3751  8 Ho 3.07-3.33
Sn 0.7527 0.3776 0.8758  8 Ho 3.07-3.33
Hg 0.0000 0.0000 0.0000  8 Ho 3.06-3.36

No. 19
Pm6Tm3Th2: optimized geometry, PBE-GGA.

Computed properties:
DFT formation energy, eV/f.u.: 2.41
Energy, eV/atom: -4.941

abc: 6.1785 6.1785 11.6603
angles: 95.13 95.13 120.05
Closest atoms and distances in Å follow each position.
Sites, in units of the cell vectors:
Pm 0.0844 0.4173 0.7521  2 Th 3.51-3.52, 3 Tm 3.55, 6 Pm 3.56-3.57
Pm 0.2494 0.2494 0.2482  2 Th 3.51, 3 Tm 3.54-3.55, 6 Pm 3.56-3.57
Pm 0.4173 0.0844 0.7521  2 Th 3.51-3.52, 3 Tm 3.55, 6 Pm 3.56-3.57
Pm 0.5827 0.9156 0.2479  2 Th 3.51-3.52, 3 Tm 3.55, 6 Pm 3.56-3.57
Pm 0.7506 0.7506 0.7518  2 Th 3.51, 3 Tm 3.54-3.55, 6 Pm 3.56-3.57
Pm 0.9156 0.5827 0.2479  2 Th 3.51-3.52, 3 Tm 3.55, 6 Pm 3.56-3.57
Tm 0.0000 0.0000 0.5000  6 Pm 3.55, 6 Tm 3.56-3.58
Tm 0.3342 0.6658 0.5000  6 Pm 3.54-3.55, 6 Tm 3.55-3.58
Tm 0.6658 0.3342 0.5000  6 Pm 3.54-3.55, 6 Tm 3.55-3.58
Th 0.1664 0.8336 0.0000  6 Pm 3.51-3.52, 3 Th 3.56-3.57
Th 0.8336 0.1664 0.0000  6 Pm 3.51-3.52, 3 Th 3.56-3.57

No. 20
Rb3Tl2AgCl9: optimized geometry, PBE-GGA.

Computed properties:
Energy, eV/atom: -3.016
Uncorrected formation energy, eV/f.u.: -18.1

abc: 7.6116 7.6116 9.3506
angles: 90.00 90.00 120.00
Closest atoms and distances in Å follow each position.
Sites, in units of the cell vectors:
Rb 0.0000 0.0000 0.0000  12 Cl 3.80-3.81
Rb 0.3333 0.6667 0.6564  12 Cl 3.75-3.89
Rb 0.6667 0.3333 0.3436  12 Cl 3.75-3.89
Tl 0.3333 0.6667 0.1767  6 Cl 2.68-2.75
Tl 0.6667 0.3333 0.8233  6 Cl 2.68-2.75
Ag 0.0000 0.0000 0.5000  6 Cl 2.65
Cl 0.0000 0.5000 0.0000  2 Tl 2.75
Cl 0.1636 0.3272 0.3348  1 Ag 2.65, 1 Tl 2.68
Cl 0.1636 0.8364 0.3348  1 Ag 2.65, 1 Tl 2.68
Cl 0.3272 0.1636 0.6652  1 Ag 2.65, 1 Tl 2.68
Cl 0.5000 0.0000 0.0000  2 Tl 2.75
Cl 0.5000 0.5000 0.0000  2 Tl 2.75
Cl 0.6728 0.8364 0.3348  1 Ag 2.65, 1 Tl 2.68
Cl 0.8364 0.1636 0.6652  1 Ag 2.65, 1 Tl 2.68
Cl 0.8364 0.6728 0.6652  1 Ag 2.65, 1 Tl 2.68